Compound: Y6TaO12
Source: Alexandria via LeMat-Bulk
Functional: PBE
Structure: relaxed

Symmetry = R-3, No. 148
Raw formation energy = -3349 meV/atom

Lattice parameters (Å, degrees): 6.502 6.502 6.502 98.76 98.76 98.76
Fractional positions:
Y1 0.111 0.639 0.802
Y2 0.198 0.889 0.361
Y3 0.361 0.198 0.889
Y4 0.639 0.802 0.111
Y5 0.802 0.111 0.639
Y6 0.889 0.361 0.198
Ta1 0.500 0.500 0.500
O1 0.063 0.322 0.913
O2 0.087 0.937 0.678
O3 0.197 0.541 0.428
O4 0.322 0.913 0.063
O5 0.428 0.197 0.541
O6 0.459 0.572 0.803
O7 0.541 0.428 0.197
O8 0.572 0.803 0.459
O9 0.678 0.087 0.937
O10 0.803 0.459 0.572
O11 0.913 0.063 0.322
O12 0.937 0.678 0.087



Compound: YTa2O2
Source: Alexandria via LeMat-Bulk
Functional: PBE
Structure: relaxed

Symmetry = I4/mmm, No. 139
Raw formation energy = -831 meV/atom

Lattice parameters (Å, degrees): 6.194 6.194 6.194 144.90 144.90 50.48
Fractional positions:
Y1 0.000 0.000 0.000
Ta1 0.250 0.750 0.500
Ta2 0.750 0.250 0.500
O1 0.375 0.375 0.000
O2 0.625 0.625 0.000



Compound: YTaO4
Source: Alexandria via LeMat-Bulk
Functional: PBE
Structure: relaxed

Symmetry = C2/c, No. 15
Raw formation energy = -3248 meV/atom

Lattice parameters (Å, degrees): 6.578 6.578 5.103 110.41 110.41 115.21
Fractional positions:
Y1 0.131 0.869 0.750
Y2 0.869 0.131 0.250
Ta1 0.399 0.601 0.250
Ta2 0.601 0.399 0.750
O1 0.135 0.553 0.341
O2 0.225 0.288 0.788
O3 0.288 0.225 0.288
O4 0.447 0.865 0.159
O5 0.553 0.135 0.841
O6 0.712 0.775 0.712
O7 0.775 0.712 0.212
O8 0.865 0.447 0.659



Compound: YTaO4
Source: Alexandria via LeMat-Bulk
Functional: PBE
Structure: relaxed

Symmetry = P2_1/c, No. 14
Raw formation energy = -3188 meV/atom

Lattice parameters (Å, degrees): 5.906 5.009 5.825 90.00 110.40 90.00
Fractional positions:
Y1 0.000 0.000 0.000
Y2 0.000 0.500 0.500
Ta1 0.500 0.000 0.500
Ta2 0.500 0.500 0.000
O1 0.177 0.159 0.382
O2 0.177 0.341 0.882
O3 0.380 0.714 0.684
O4 0.380 0.786 0.184
O5 0.620 0.214 0.816
O6 0.620 0.286 0.316
O7 0.823 0.659 0.118
O8 0.823 0.841 0.618



Compound: Y7Ta3O18
Source: Alexandria via LeMat-Bulk
Functional: PBE
Structure: relaxed

Symmetry = P-1, No. 2
Raw formation energy = -3332 meV/atom

Lattice parameters (Å, degrees): 6.446 6.455 18.732 90.01 90.09 109.31
Fractional positions:
Y1 0.000 0.000 0.000
Y2 0.002 0.965 0.601
Y3 0.004 0.968 0.198
Y4 0.464 0.499 0.401
Y5 0.468 0.504 0.800
Y6 0.473 0.973 0.301
Y7 0.488 0.992 0.894
Y8 0.500 0.000 0.500
Y9 0.512 0.008 0.106
Y10 0.527 0.027 0.699
Y11 0.532 0.496 0.200
Y12 0.536 0.501 0.599
Y13 0.996 0.032 0.802
Y14 0.998 0.035 0.399
Ta1 0.000 0.500 0.500
Ta2 0.002 0.502 0.089
Ta3 0.004 0.503 0.704
Ta4 0.500 0.500 0.000
Ta5 0.996 0.497 0.296
Ta6 0.998 0.498 0.911
O1 0.061 0.443 0.807
O2 0.063 0.434 0.399
O3 0.066 0.817 0.716
O4 0.069 0.821 0.487
O5 0.076 0.826 0.309
O6 0.082 0.824 0.894
O7 0.125 0.843 0.094
O8 0.131 0.404 0.998
O9 0.312 0.549 0.687
O10 0.323 0.576 0.512
O11 0.324 0.545 0.105
O12 0.326 0.582 0.288
O13 0.357 0.601 0.908
O14 0.362 0.136 0.399
O15 0.362 0.140 0.802
O16 0.371 0.131 0.599
O17 0.372 0.130 0.206
O18 0.388 0.172 0.990
O19 0.612 0.828 0.010
O20 0.628 0.870 0.794
O21 0.629 0.869 0.401
O22 0.638 0.860 0.198
O23 0.638 0.864 0.601
O24 0.643 0.399 0.092
O25 0.674 0.418 0.712
O26 0.676 0.455 0.895
O27 0.677 0.424 0.488
O28 0.688 0.451 0.313
O29 0.869 0.596 0.002
O30 0.875 0.157 0.906
O31 0.918 0.176 0.106
O32 0.924 0.174 0.691
O33 0.931 0.179 0.513
O34 0.934 0.183 0.284
O35 0.937 0.566 0.601
O36 0.939 0.557 0.193



Compound: YTaO3
Source: Alexandria via LeMat-Bulk
Functional: PBE
Structure: relaxed

Symmetry = Pm-3m, No. 221
Raw formation energy = -1007 meV/atom

Lattice parameters (Å, degrees): 4.228 4.228 4.228 90.00 90.00 90.00
Fractional positions:
Y1 0.000 0.000 0.000
Ta1 0.500 0.500 0.500
O1 0.000 0.000 0.500
O2 0.000 0.500 0.000
O3 0.500 0.000 0.000



Compound: YTaO4
Source: Alexandria via LeMat-Bulk
Functional: PBE
Structure: relaxed

Symmetry = P2_1/c, No. 14
Raw formation energy = -3235 meV/atom

Lattice parameters (Å, degrees): 7.624 5.358 7.616 90.00 98.61 90.00
Fractional positions:
Y1 0.147 0.220 0.388
Y2 0.147 0.280 0.888
Y3 0.853 0.720 0.112
Y4 0.853 0.780 0.612
Ta1 0.336 0.731 0.186
Ta2 0.336 0.769 0.686
Ta3 0.664 0.231 0.314
Ta4 0.664 0.269 0.814
O1 0.111 0.517 0.173
O2 0.111 0.983 0.673
O3 0.177 0.006 0.119
O4 0.177 0.494 0.619
O5 0.330 0.629 0.937
O6 0.330 0.871 0.437
O7 0.435 0.097 0.807
O8 0.435 0.403 0.307
O9 0.565 0.597 0.693
O10 0.565 0.903 0.193
O11 0.670 0.129 0.563
O12 0.670 0.371 0.063
O13 0.823 0.506 0.381
O14 0.823 0.994 0.881
O15 0.889 0.017 0.327
O16 0.889 0.483 0.827



Compound: Y11Ta5O28
Source: Alexandria via LeMat-Bulk
Functional: PBE
Structure: relaxed

Symmetry = Pm, No. 6
Raw formation energy = -3305 meV/atom

Lattice parameters (Å, degrees): 7.476 7.445 10.524 90.00 90.06 90.00
Fractional positions:
Y1 0.000 0.000 0.000
Y2 0.001 0.500 0.506
Y3 0.015 0.500 0.022
Y4 0.031 0.000 0.485
Y5 0.233 0.258 0.756
Y6 0.233 0.742 0.756
Y7 0.482 0.500 0.016
Y8 0.518 0.000 0.981
Y9 0.528 0.500 0.506
Y10 0.745 0.251 0.246
Y11 0.745 0.749 0.246
Ta1 0.250 0.225 0.237
Ta2 0.250 0.775 0.237
Ta3 0.498 0.000 0.476
Ta4 0.758 0.248 0.747
Ta5 0.758 0.752 0.747
O1 0.032 0.237 0.128
O2 0.032 0.763 0.128
O3 0.067 0.269 0.374
O4 0.067 0.731 0.374
O5 0.246 0.500 0.886
O6 0.250 0.000 0.873
O7 0.258 0.500 0.180
O8 0.269 0.500 0.618
O9 0.286 0.000 0.344
O10 0.294 0.000 0.596
O11 0.464 0.226 0.124
O12 0.464 0.774 0.124
O13 0.470 0.255 0.381
O14 0.470 0.745 0.381
O15 0.551 0.284 0.859
O16 0.551 0.716 0.859
O17 0.603 0.184 0.602
O18 0.603 0.816 0.602
O19 0.743 0.000 0.388
O20 0.744 0.500 0.117
O21 0.747 0.500 0.674
O22 0.751 0.000 0.113
O23 0.756 0.000 0.817
O24 0.763 0.500 0.382
O25 0.951 0.281 0.873
O26 0.951 0.719 0.873
O27 0.977 0.222 0.630
O28 0.977 0.778 0.630